1.
# PuThFeIr

PuThFeIr after structural relaxation (PBE-GGA, the Alexandria database).

a = 6.944 Å, b = 6.944 Å, c = 6.944 Å
α = 90.00°, β = 90.00°, γ = 90.00°
Space group F-43m (No. 216)
One atom of each set of equivalent atoms:
Pu 0.000 0.000 0.000
Th 0.000 0.000 0.500
Fe 0.250 0.250 0.750
Ir 0.250 0.250 0.250

Values from the calculation:
Energy of formation from the pure elements in kJ/mol of formula units: -93
Magnetic moment in μB/cell: 15.12

---

2.
# PuUFeIr

PuUFeIr after structural relaxation (PBE-GGA, the Alexandria database).

a = 6.754 Å, b = 6.754 Å, c = 6.754 Å
α = 90.00°, β = 90.00°, γ = 90.00°
Space group F-43m (No. 216)
One atom of each set of equivalent atoms:
Pu 0.000 0.000 0.000
U 0.000 0.000 0.500
Fe 0.250 0.250 0.750
Ir 0.250 0.250 0.250

Values from the calculation:
E above lowest polymorph in meV/atom: 237.3
Energy of formation from the pure elements in kJ/mol of formula units: -49
Magnetic moment in μB/cell: 23.15

---

3.
# PuUFeIr

PuUFeIr after structural relaxation (PBE-GGA, the Alexandria database).

a = 6.487 Å, b = 6.487 Å, c = 6.487 Å
α = 90.00°, β = 90.00°, γ = 90.00°
Space group F-43m (No. 216)
One atom of each set of equivalent atoms:
Pu 0.000 0.000 0.000
U 0.250 0.250 0.750
Fe 0.250 0.250 0.250
Ir 0.000 0.000 0.500

Values from the calculation:
E above lowest polymorph in meV/atom: 0.0
Energy of formation from the pure elements in kJ/mol of formula units: -141
Magnetic moment in μB/cell: 12.46

---

4.
# YPuFeIr

YPuFeIr after structural relaxation (PBE-GGA, the Alexandria database).

a = 6.806 Å, b = 6.806 Å, c = 6.806 Å
α = 90.00°, β = 90.00°, γ = 90.00°
Space group F-43m (No. 216)
One atom of each set of equivalent atoms:
Y 0.000 0.000 0.000
Pu 0.000 0.000 0.500
Fe 0.250 0.250 0.750
Ir 0.250 0.250 0.250

Values from the calculation:
Energy of formation from the pure elements in kJ/mol of formula units: -106
Magnetic moment in μB/cell: 13.51